Entry 1:
This record from Alexandria describes a relaxed SrZr2F crystal. The functional is PBE.

a = 6.9117 Å, b = 6.9117 Å, c = 6.8235 Å
α = 59.57°, β = 59.57°, γ = 90.00°
Fractional coordinates of all 8 atoms:
Sr  0.0000  0.0000  0.0000
Sr  0.7500  0.2500  0.5000
Zr  0.3254  0.1250  0.2500
Zr  0.4246  0.6250  0.2500
Zr  0.3750  0.6746  0.7500
Zr  0.8750  0.5754  0.7500
F  0.5000  0.5000  0.0000
F  0.2500  0.7500  0.5000

* total moment: 0.000 μB/f.u.
* distance to the lowest polymorph of the same formula: 0 meV per atom
* ΔE_f (raw): -0.432 eV per atom


Entry 2:
This record from Alexandria describes a relaxed Ag8AsS6 crystal. The functional is PBE.

a = 7.5575 Å, b = 7.7984 Å, c = 10.7049 Å
α = 90.00°, β = 90.00°, γ = 90.00°
Fractional coordinates of all 30 atoms:
Ag  0.3798  0.0000  0.9654
Ag  0.6202  0.5000  0.4654
Ag  0.8966  0.7962  0.1324
Ag  0.1034  0.7038  0.6324
Ag  0.1034  0.2962  0.6324
Ag  0.8966  0.2038  0.1324
Ag  0.4689  0.7938  0.7330
Ag  0.5311  0.7062  0.2330
Ag  0.5311  0.2938  0.2330
Ag  0.4689  0.2062  0.7330
Ag  0.8439  0.7862  0.8471
Ag  0.1561  0.7138  0.3471
Ag  0.1561  0.2862  0.3471
Ag  0.8439  0.2138  0.8471
Ag  0.2923  0.0000  0.5215
Ag  0.7077  0.5000  0.0215
As  0.7577  0.0000  0.4844
As  0.2424  0.5000  0.9844
S  0.7192  0.0000  0.9915
S  0.2808  0.5000  0.4915
S  0.2038  0.0000  0.7475
S  0.7962  0.5000  0.2475
S  0.9936  0.0000  0.3408
S  0.0064  0.5000  0.8408
S  0.5170  0.0000  0.3528
S  0.4830  0.5000  0.8528
S  0.2482  0.7557  0.1036
S  0.7518  0.7443  0.6036
S  0.7518  0.2557  0.6036
S  0.2482  0.2443  0.1036

* total moment: 0.000 μB/f.u.
* ΔE_f (raw): -0.026 eV per atom


Entry 3:
This record from Alexandria describes a relaxed KIr2Rh crystal. The functional is PBE.

a = 5.1297 Å, b = 5.1297 Å, c = 2.6564 Å
α = 90.00°, β = 90.00°, γ = 90.00°
Each line ends with the local moment (μB).
Fractional coordinates of all 4 atoms:
Ir  0.0000  0.0000  0.0000  0.62
Ir  0.5000  0.5000  0.0000  0.62
K  0.5000  0.0000  0.5000  0.00
Rh  0.0000  0.5000  0.5000  0.21

* total moment: 1.475 μB/f.u.
* DFT formation energy: 1.11 eV per atom
* distance to the lowest polymorph of the same formula: 654 meV per atom